Record 1
# PBE MgSn2O4, relaxed
# - ΔE_f (raw) (eV per formula unit) = -11.9
# - symmetry = Pmmn, No. 59
# - electronic total energy (eV per atom) = -5.9061
# - total magnetization (μB/cell) = 0.00
data_MgSn2O4
_symmetry_space_group_name_H-M 'P 1'
_symmetry_Int_Tables_number 1
_symmetry_space_group_name_Hall 'P 1'
_cell_length_a 6.140
_cell_length_b 7.660
_cell_length_c 11.121
_cell_angle_alpha 90.00
_cell_angle_beta 90.00
_cell_angle_gamma 90.00
loop_
_atom_site_label
_atom_site_fract_x
_atom_site_fract_y
_atom_site_fract_z
_atom_site_occupancy
Mg1 0.500 0.566 0.000 1
Mg2 0.000 0.434 0.500 1
Mg3 0.500 0.281 0.500 1
Mg4 0.000 0.719 0.000 1
Sn1 0.000 0.135 0.293 1
Sn2 0.000 0.135 0.707 1
Sn3 0.500 0.865 0.207 1
Sn4 0.500 0.865 0.793 1
Sn5 0.250 0.500 0.250 1
Sn6 0.750 0.500 0.750 1
Sn7 0.750 0.500 0.250 1
Sn8 0.250 0.500 0.750 1
O1 0.000 0.602 0.353 1
O2 0.000 0.602 0.647 1
O3 0.500 0.398 0.147 1
O4 0.500 0.398 0.853 1
O5 0.000 0.352 0.168 1
O6 0.000 0.352 0.832 1
O7 0.500 0.648 0.332 1
O8 0.500 0.648 0.668 1
O9 0.256 0.704 0.119 1
O10 0.744 0.704 0.881 1
O11 0.756 0.296 0.381 1
O12 0.244 0.296 0.619 1
O13 0.244 0.296 0.381 1
O14 0.756 0.296 0.619 1
O15 0.744 0.704 0.119 1
O16 0.256 0.704 0.881 1



Record 2
# PBE MgSn2O4, relaxed
# - ΔE_f (raw) (eV per formula unit) = -12.2
# - symmetry = Imma, No. 74
# - electronic total energy (eV per atom) = -5.9527
# - total magnetization (μB/cell) = 0.00
data_MgSn2O4
_symmetry_space_group_name_H-M 'P 1'
_symmetry_Int_Tables_number 1
_symmetry_space_group_name_Hall 'P 1'
_cell_length_a 6.523
_cell_length_b 6.523
_cell_length_c 6.523
_cell_angle_alpha 121.83
_cell_angle_beta 114.42
_cell_angle_gamma 93.39
loop_
_atom_site_label
_atom_site_fract_x
_atom_site_fract_y
_atom_site_fract_z
_atom_site_occupancy
Mg1 0.000 0.500 0.500 1
Mg2 0.500 0.500 0.000 1
Sn1 0.387 0.137 0.250 1
Sn2 0.613 0.863 0.750 1
Sn3 0.000 0.000 0.500 1
Sn4 0.000 0.500 0.000 1
O1 0.765 0.745 0.479 1
O2 0.181 0.734 0.447 1
O3 0.765 0.286 0.021 1
O4 0.787 0.734 0.053 1
O5 0.213 0.266 0.947 1
O6 0.819 0.266 0.553 1
O7 0.235 0.714 0.979 1
O8 0.235 0.255 0.521 1



Record 3
# PBE MgSnO3, relaxed
# - ΔE_f (raw) (eV per formula unit) = -10.1
# - symmetry = Pnma, No. 62
# - electronic total energy (eV per atom) = -6.1064
# - total magnetization (μB/cell) = 0.00
data_MgSnO3
_symmetry_space_group_name_H-M 'P 1'
_symmetry_Int_Tables_number 1
_symmetry_space_group_name_Hall 'P 1'
_cell_length_a 5.338
_cell_length_b 5.454
_cell_length_c 7.839
_cell_angle_alpha 90.00
_cell_angle_beta 90.00
_cell_angle_gamma 90.00
loop_
_atom_site_label
_atom_site_fract_x
_atom_site_fract_y
_atom_site_fract_z
_atom_site_occupancy
Mg1 0.999 0.958 0.750 1
Mg2 0.501 0.458 0.750 1
Mg3 0.499 0.542 0.250 1
Mg4 0.001 0.042 0.250 1
Sn1 0.000 0.500 0.000 1
Sn2 0.000 0.500 0.500 1
Sn3 0.500 0.000 0.500 1
Sn4 0.500 0.000 0.000 1
O1 0.134 0.413 0.250 1
O2 0.171 0.176 0.572 1
O3 0.171 0.176 0.928 1
O4 0.329 0.676 0.572 1
O5 0.329 0.676 0.928 1
O6 0.366 0.913 0.250 1
O7 0.634 0.087 0.750 1
O8 0.671 0.324 0.072 1
O9 0.671 0.324 0.428 1
O10 0.829 0.824 0.072 1
O11 0.829 0.824 0.428 1
O12 0.866 0.587 0.750 1



Record 4
# PBE MgSnO2, relaxed
# - ΔE_f (raw) (eV per formula unit) = -7.4
# - symmetry = P1, No. 1
# - electronic total energy (eV per atom) = -5.7265
# - total magnetization (μB/cell) = 0.00
data_MgSnO2
_symmetry_space_group_name_H-M 'P 1'
_symmetry_Int_Tables_number 1
_symmetry_space_group_name_Hall 'P 1'
_cell_length_a 3.404
_cell_length_b 9.096
_cell_length_c 8.383
_cell_angle_alpha 103.76
_cell_angle_beta 91.44
_cell_angle_gamma 80.15
loop_
_atom_site_label
_atom_site_fract_x
_atom_site_fract_y
_atom_site_fract_z
_atom_site_occupancy
Mg1 0.578 0.236 0.991 1
Mg2 0.228 0.932 0.989 1
Mg3 0.143 0.053 0.620 1
Mg4 0.752 0.960 0.275 1
Sn1 0.253 0.604 0.205 1
Sn2 0.497 0.325 0.437 1
Sn3 0.771 0.746 0.601 1
Sn4 0.940 0.447 0.790 1
O1 0.421 0.491 0.956 1
O2 0.306 0.832 0.183 1
O3 0.685 0.952 0.520 1
O4 0.582 0.375 0.218 1
O5 0.683 0.037 0.057 1
O6 0.048 0.163 0.415 1
O7 0.069 0.220 0.837 1
O8 0.234 0.853 0.745 1



Record 5
# PBE MgSn2O, relaxed
# - ΔE_f (raw) (eV per formula unit) = -1.3
# - symmetry = I-42d, No. 122
# - electronic total energy (eV per atom) = -3.9531
# - total magnetization (μB/cell) = 0.00
data_MgSn2O
_symmetry_space_group_name_H-M 'P 1'
_symmetry_Int_Tables_number 1
_symmetry_space_group_name_Hall 'P 1'
_cell_length_a 5.372
_cell_length_b 5.372
_cell_length_c 7.811
_cell_angle_alpha 69.89
_cell_angle_beta 69.89
_cell_angle_gamma 90.00
loop_
_atom_site_label
_atom_site_fract_x
_atom_site_fract_y
_atom_site_fract_z
_atom_site_occupancy
Mg1 0.000 0.000 0.000 1
Mg2 0.750 0.250 0.500 1
Sn1 0.514 0.125 0.250 1
Sn2 0.236 0.625 0.250 1
Sn3 0.375 0.486 0.750 1
Sn4 0.875 0.764 0.750 1
O1 0.500 0.500 0.000 1
O2 0.250 0.750 0.500 1



Record 6
# PBE MgSnO2, relaxed
# - ΔE_f (raw) (eV per formula unit) = -6.6
# - symmetry = I-42d, No. 122
# - electronic total energy (eV per atom) = -5.5170
# - total magnetization (μB/cell) = 0.00
data_MgSnO2
_symmetry_space_group_name_H-M 'P 1'
_symmetry_Int_Tables_number 1
_symmetry_space_group_name_Hall 'P 1'
_cell_length_a 5.128
_cell_length_b 5.128
_cell_length_c 6.064
_cell_angle_alpha 64.99
_cell_angle_beta 64.99
_cell_angle_gamma 90.00
loop_
_atom_site_label
_atom_site_fract_x
_atom_site_fract_y
_atom_site_fract_z
_atom_site_occupancy
Mg1 0.500 0.500 0.000 1
Mg2 0.250 0.750 0.500 1
Sn1 0.000 0.000 0.000 1
Sn2 0.750 0.250 0.500 1
O1 0.565 0.125 0.250 1
O2 0.185 0.625 0.250 1
O3 0.375 0.435 0.750 1
O4 0.875 0.815 0.750 1



Record 7
# PBE SrMg6SnO8, relaxed
# - ΔE_f (raw) (eV per formula unit) = -34.6
# - symmetry = P4/mmm, No. 123
# - electronic total energy (eV per atom) = -5.5962
# - total magnetization (μB/cell) = 0.00
data_SrMg6SnO8
_symmetry_space_group_name_H-M 'P 1'
_symmetry_Int_Tables_number 1
_symmetry_space_group_name_Hall 'P 1'
_cell_length_a 4.612
_cell_length_b 4.612
_cell_length_c 9.146
_cell_angle_alpha 90.00
_cell_angle_beta 90.00
_cell_angle_gamma 90.00
loop_
_atom_site_label
_atom_site_fract_x
_atom_site_fract_y
_atom_site_fract_z
_atom_site_occupancy
Sr1 0.000 0.000 0.500 1
Mg1 0.500 0.500 0.000 1
Mg2 0.500 0.500 0.500 1
Mg3 0.000 0.500 0.249 1
Mg4 0.000 0.500 0.751 1
Mg5 0.500 0.000 0.249 1
Mg6 0.500 0.000 0.751 1
Sn1 0.000 0.000 0.000 1
O1 0.000 0.000 0.246 1
O2 0.000 0.000 0.754 1
O3 0.500 0.500 0.249 1
O4 0.500 0.500 0.751 1
O5 0.000 0.500 0.000 1
O6 0.000 0.500 0.500 1
O7 0.500 0.000 0.000 1
O8 0.500 0.000 0.500 1



Record 8
# PBE SrMg2Sn2O7, relaxed
# - ΔE_f (raw) (eV per formula unit) = -26.1
# - symmetry = Imm2, No. 44
# - electronic total energy (eV per atom) = -6.1417
# - total magnetization (μB/cell) = 0.00
data_SrMg2Sn2O7
_symmetry_space_group_name_H-M 'P 1'
_symmetry_Int_Tables_number 1
_symmetry_space_group_name_Hall 'P 1'
_cell_length_a 4.166
_cell_length_b 4.166
_cell_length_c 9.146
_cell_angle_alpha 103.17
_cell_angle_beta 103.17
_cell_angle_gamma 90.00
loop_
_atom_site_label
_atom_site_fract_x
_atom_site_fract_y
_atom_site_fract_z
_atom_site_occupancy
Sr1 0.000 0.002 0.000 1
Mg1 0.250 0.750 0.500 1
Mg2 0.750 0.250 0.500 1
Sn1 0.384 0.384 0.767 1
Sn2 0.616 0.616 0.232 1
O1 0.380 0.880 0.759 1
O2 0.736 0.736 0.472 1
O3 0.120 0.620 0.241 1
O4 0.620 0.120 0.241 1
O5 0.264 0.264 0.528 1
O6 0.880 0.379 0.759 1
O7 0.500 0.498 0.000 1



Record 9
# PBE SrMg6SnO8, relaxed
# - ΔE_f (raw) (eV per formula unit) = -36.0
# - symmetry = P4/mmm, No. 123
# - electronic total energy (eV per atom) = -5.6795
# - total magnetization (μB/cell) = 0.00
data_SrMg6SnO8
_symmetry_space_group_name_H-M 'P 1'
_symmetry_Int_Tables_number 1
_symmetry_space_group_name_Hall 'P 1'
_cell_length_a 4.624
_cell_length_b 4.624
_cell_length_c 9.071
_cell_angle_alpha 90.00
_cell_angle_beta 90.00
_cell_angle_gamma 90.00
loop_
_atom_site_label
_atom_site_fract_x
_atom_site_fract_y
_atom_site_fract_z
_atom_site_occupancy
Sr1 0.500 0.500 0.000 1
Mg1 0.000 0.000 0.500 1
Mg2 0.500 0.500 0.500 1
Mg3 0.000 0.500 0.274 1
Mg4 0.000 0.500 0.726 1
Mg5 0.500 0.000 0.274 1
Mg6 0.500 0.000 0.726 1
Sn1 0.000 0.000 0.000 1
O1 0.000 0.000 0.277 1
O2 0.000 0.000 0.723 1
O3 0.500 0.500 0.276 1
O4 0.500 0.500 0.724 1
O5 0.000 0.500 0.000 1
O6 0.000 0.500 0.500 1
O7 0.500 0.000 0.000 1
O8 0.500 0.000 0.500 1